Here is Ca2NiRu after structural relaxation from Alexandria via LeMat-Bulk. Energies are from GGA-PBE.

V	20.02	A^3/atom
symmetry	P4/mmm (123)
ΔH_f (0 K)	1.2	eV per formula unit
M_tot	0.018	Bohr magnetons per cell
Fermi-level density of states	1.584	states/eV per atom
calculated total energy	-4.468	eV per atom

Lattice parameters (Å, degrees): 4.747 4.747 3.553 90.00 90.00 90.00
Sites, in units of the cell vectors:
Ca  0.000  0.500  0.000
Ca  0.500  0.000  0.000
Ni  0.000  0.000  0.500
Ru  0.500  0.500  0.500

Here is Tb3Sm3Ni2 after structural relaxation from Alexandria via LeMat-Bulk. Energies are from GGA-PBE.

V	28.28	A^3/atom
symmetry	Cmcm (63)
ΔH_f (0 K)	-1.0	eV per formula unit
M_tot	0.000	Bohr magnetons per cell
Fermi-level density of states	1.207	states/eV per atom
calculated total energy	-5.080	eV per atom

Lattice parameters (Å, degrees): 6.874 6.874 18.520 90.00 90.00 148.87
Sites, in units of the cell vectors:
Tb  0.062  0.938  0.585
Tb  0.062  0.938  0.915
Tb  0.262  0.738  0.750
Tb  0.738  0.262  0.250
Tb  0.938  0.062  0.085
Tb  0.938  0.062  0.415
Sm  0.323  0.677  0.564
Sm  0.323  0.677  0.936
Sm  0.460  0.540  0.250
Sm  0.540  0.460  0.750
Sm  0.677  0.323  0.064
Sm  0.677  0.323  0.436
Ni  0.305  0.695  0.139
Ni  0.305  0.695  0.361
Ni  0.695  0.305  0.639
Ni  0.695  0.305  0.861

Here is ScTc3P2 after structural relaxation from Alexandria via LeMat-Bulk. Energies are from GGA-PBE.

V	15.05	A^3/atom
symmetry	C2/m (12)
ΔH_f (0 K)	-3.6	eV per formula unit
M_tot	0.000	Bohr magnetons per cell
Fermi-level density of states	0.630	states/eV per atom
calculated total energy	-8.643	eV per atom

Lattice parameters (Å, degrees): 8.158 8.158 11.370 105.24 105.24 21.81
Sites, in units of the cell vectors:
Sc  0.000  0.000  0.000
Sc  0.153  0.153  0.712
Sc  0.847  0.847  0.288
Tc  0.038  0.038  0.327
Tc  0.217  0.217  0.382
Tc  0.330  0.330  0.042
Tc  0.376  0.376  0.806
Tc  0.500  0.500  0.500
Tc  0.624  0.624  0.194
Tc  0.670  0.670  0.958
Tc  0.783  0.783  0.618
Tc  0.962  0.962  0.673
P  0.214  0.214  0.131
P  0.355  0.355  0.514
P  0.464  0.464  0.183
P  0.536  0.536  0.817
P  0.645  0.645  0.486
P  0.786  0.786  0.869

Here is RbCdNO2 after structural relaxation from Alexandria via LeMat-Bulk. Energies are from GGA-PBE.

V	17.62	A^3/atom
symmetry	P4/mmm (123)
M_tot	1.026	Bohr magnetons per cell
Fermi-level density of states	0.571	states/eV per atom
calculated total energy	-2.434	eV per atom

Lattice parameters (Å, degrees): 4.339 4.339 4.681 90.00 90.00 90.00
Sites, in units of the cell vectors:
Rb  0.000  0.000  0.000
Cd  0.500  0.500  0.500
N  0.000  0.000  0.500
O  0.000  0.500  0.000
O  0.500  0.000  0.000

Here is SiWSe after structural relaxation from Alexandria via LeMat-Bulk. Energies are from GGA-PBE.

V	17.75	A^3/atom
symmetry	I4mm (107)
M_tot	0.000	Bohr magnetons per cell
Fermi-level density of states	0.524	states/eV per atom
calculated total energy	-6.991	eV per atom

Lattice parameters (Å, degrees): 6.117 6.117 6.117 151.12 151.12 41.29
Sites, in units of the cell vectors:
Si  0.000  0.000  0.000
W  0.637  0.637  0.000
Se  0.270  0.270  0.000

Here is Pm3PrPd3 after structural relaxation from Alexandria via LeMat-Bulk. Energies are from GGA-PBE.

V	26.55	A^3/atom
symmetry	C2/m (12)
ΔH_f (0 K)	-4.2	eV per formula unit
M_tot	0.000	Bohr magnetons per cell
Fermi-level density of states	0.927	states/eV per atom
calculated total energy	-5.546	eV per atom

Lattice parameters (Å, degrees): 7.190 7.190 7.240 90.83 90.83 96.67
Sites, in units of the cell vectors:
Pm  0.178  0.822  0.000
Pm  0.249  0.751  0.500
Pm  0.344  0.344  0.129
Pm  0.656  0.656  0.871
Pm  0.751  0.249  0.500
Pm  0.822  0.178  0.000
Pr  0.263  0.263  0.624
Pr  0.737  0.737  0.376
Pd  0.007  0.508  0.777
Pd  0.063  0.063  0.307
Pd  0.492  0.993  0.223
Pd  0.508  0.007  0.777
Pd  0.937  0.937  0.693
Pd  0.993  0.492  0.223

Here is Ga2TcIr2 after structural relaxation from Alexandria via LeMat-Bulk. Energies are from GGA-PBE.

V	14.75	A^3/atom
symmetry	P4/mbm (127)
ΔH_f (0 K)	-0.5	eV per formula unit
M_tot	0.000	Bohr magnetons per cell
Fermi-level density of states	0.939	states/eV per atom
calculated total energy	-6.933	eV per atom

Lattice parameters (Å, degrees): 7.235 7.235 2.818 90.00 90.00 90.00
Sites, in units of the cell vectors:
Ga  0.133  0.367  0.000
Ga  0.367  0.867  0.000
Ga  0.633  0.133  0.000
Ga  0.867  0.633  0.000
Tc  0.000  0.000  0.000
Tc  0.500  0.500  0.000
Ir  0.167  0.667  0.500
Ir  0.333  0.167  0.500
Ir  0.667  0.833  0.500
Ir  0.833  0.333  0.500

Here is Ce5ZnSi2 after structural relaxation from Alexandria via LeMat-Bulk. Energies are from GGA-PBE.

V	24.57	A^3/atom
symmetry	Cmcm (63)
M_tot	6.348	Bohr magnetons per cell
Fermi-level density of states	2.749	states/eV per atom
calculated total energy	-5.532	eV per atom

Lattice parameters (Å, degrees): 5.300 5.300 16.482 90.00 90.00 121.88
Sites, in units of the cell vectors:
Ce  0.065  0.935  0.573
Ce  0.065  0.935  0.927
Ce  0.266  0.734  0.250
Ce  0.407  0.593  0.604
Ce  0.407  0.593  0.896
Ce  0.593  0.407  0.104
Ce  0.593  0.407  0.396
Ce  0.734  0.266  0.750
Ce  0.935  0.065  0.073
Ce  0.935  0.065  0.427
Zn  0.060  0.940  0.750
Zn  0.940  0.060  0.250
Si  0.267  0.733  0.070
Si  0.267  0.733  0.430
Si  0.733  0.267  0.570
Si  0.733  0.267  0.930

Here is ReAg3 after structural relaxation from Alexandria via LeMat-Bulk. Energies are from GGA-PBE.

V	17.21	A^3/atom
symmetry	P4/mmm (123)
ΔH_f (0 K)	2.6	eV per formula unit
M_tot	0.628	Bohr magnetons per cell
Fermi-level density of states	0.326	states/eV per atom
calculated total energy	-4.591	eV per atom

Lattice parameters (Å, degrees): 5.027 5.027 2.724 90.00 90.00 90.00
Sites, in units of the cell vectors:
Re  0.000  0.000  0.000
Ag  0.000  0.500  0.500
Ag  0.500  0.000  0.500
Ag  0.500  0.500  0.000

Here is AcZnTcGe3 after structural relaxation from Alexandria via LeMat-Bulk. Energies are from GGA-PBE.

V	22.99	A^3/atom
symmetry	Cmcm (63)
ΔH_f (0 K)	-0.6	eV per formula unit
M_tot	0.000	Bohr magnetons per cell
Fermi-level density of states	0.482	states/eV per atom
calculated total energy	-5.040	eV per atom

Lattice parameters (Å, degrees): 7.669 7.669 6.156 90.00 90.00 130.37
Sites, in units of the cell vectors:
Ac  0.213  0.787  0.750
Ac  0.787  0.213  0.250
Zn  0.121  0.879  0.250
Zn  0.879  0.121  0.750
Tc  0.461  0.539  0.250
Tc  0.539  0.461  0.750
Ge  0.207  0.207  0.000
Ge  0.207  0.207  0.500
Ge  0.289  0.711  0.250
Ge  0.711  0.289  0.750
Ge  0.793  0.793  0.000
Ge  0.793  0.793  0.500